A geometry-optimized UBRu2 structure, computed with PBE.

Volume ... 13.76 A^3/atom
Magnetization ... 0.00 Bohr magnetons per cell
Final energy ... -9.116 eV/atom
D(E_F) ... 0.890 states/eV per atom

Unit cell a=2.855 b=2.855 c=6.754 alpha=90.00 beta=90.00 gamma=90.00
Positions (direct):
1 B 0.500 0.500 0.000
2 U 0.500 0.500 0.500
3 Ru 0.000 0.000 0.810
4 Ru 0.000 0.000 0.190


A geometry-optimized U4B3Ru12 structure, computed with PBE.

Volume ... 14.87 A^3/atom
Magnetization ... 0.85 Bohr magnetons per cell
Final energy ... -9.674 eV/atom
D(E_F) ... 0.746 states/eV per atom

Unit cell a=4.157 b=4.157 c=16.352 alpha=90.00 beta=90.00 gamma=90.00
Site moments in Bohr magnetons follow the coordinates.
Positions (direct):
1 Ru 0.500 0.500 0.116  -0.02
2 Ru 0.000 0.500 0.000  -0.02
3 Ru 0.500 0.000 0.500  -0.10
4 Ru 0.500 0.500 0.372  -0.10
5 Ru 0.500 0.500 0.884  -0.02
6 Ru 0.000 0.500 0.500  -0.10
7 Ru 0.000 0.500 0.753  -0.06
8 Ru 0.500 0.000 0.000  -0.02
9 Ru 0.500 0.000 0.753  -0.06
10 Ru 0.000 0.500 0.247  -0.06
11 Ru 0.500 0.500 0.628  -0.10
12 Ru 0.500 0.000 0.247  -0.06
13 U 0.000 0.000 0.116  0.10
14 U 0.000 0.000 0.628  0.66
15 U 0.000 0.000 0.372  0.66
16 U 0.000 0.000 0.884  0.10
17 B 0.500 0.500 0.240  0.00
18 B 0.500 0.500 0.500  0.00
19 B 0.500 0.500 0.760  0.00


A geometry-optimized UBRu2 structure, computed with PBE.

Volume ... 14.20 A^3/atom
Magnetization ... 0.46 Bohr magnetons per cell
Final energy ... -9.172 eV/atom
D(E_F) ... 1.040 states/eV per atom

Unit cell a=2.952 b=2.952 c=7.720 alpha=78.98 beta=78.98 gamma=60.00
Site moments in Bohr magnetons follow the coordinates.
Positions (direct):
1 Ru 0.276 0.276 0.171  -0.03
2 Ru 0.724 0.724 0.829  -0.03
3 U 0.500 0.500 0.500  0.48
4 B 0.000 0.000 0.000  0.00


A geometry-optimized UB4Ru4 structure, computed with PBE.

Volume ... 11.72 A^3/atom
Magnetization ... 5.25 Bohr magnetons per cell
Energy above the lowest structure with this stoichiometry ... 0 meV per atom
Final energy ... -8.767 eV/atom
D(E_F) ... 0.857 states/eV per atom

Unit cell a=9.206 b=9.206 c=9.206 alpha=132.02 beta=132.02 gamma=70.19
Site moments in Bohr magnetons follow the coordinates.
Positions (direct):
1 B 0.723 0.752 0.309  0.00
2 B 0.586 0.277 0.029  0.00
3 B 0.808 0.998 0.471  0.00
4 B 0.442 0.414 0.691  0.00
5 B 0.748 0.777 0.691  0.00
6 B 0.527 0.336 0.529  0.00
7 B 0.502 0.692 0.529  0.00
8 B 0.223 0.914 0.971  0.00
9 B 0.308 0.836 0.809  0.00
10 B 0.942 0.252 0.029  0.00
11 B 0.002 0.473 0.809  0.00
12 B 0.164 0.973 0.471  0.00
13 B 0.664 0.192 0.191  0.00
14 B 0.086 0.058 0.309  0.00
15 B 0.248 0.558 0.971  0.00
16 B 0.027 0.498 0.191  0.00
17 Ru 0.824 0.091 0.039  -0.02
18 Ru 0.198 0.659 0.233  -0.02
19 Ru 0.426 0.965 0.767  -0.02
20 Ru 0.052 0.785 0.961  -0.02
21 Ru 0.715 0.448 0.039  -0.02
22 Ru 0.035 0.802 0.461  -0.02
23 Ru 0.552 0.591 0.267  -0.02
24 Ru 0.926 0.159 0.461  -0.02
25 Ru 0.535 0.074 0.233  -0.02
26 Ru 0.841 0.302 0.767  -0.02
27 Ru 0.341 0.574 0.539  -0.02
28 Ru 0.409 0.676 0.961  -0.02
29 Ru 0.215 0.176 0.267  -0.02
30 Ru 0.909 0.948 0.733  -0.02
31 Ru 0.324 0.285 0.733  -0.02
32 Ru 0.698 0.465 0.539  -0.02
33 U 0.000 0.500 0.500  1.31
34 U 0.750 0.750 0.000  1.31
35 U 0.250 0.250 0.000  1.31
36 U 0.500 0.000 0.500  1.31


A geometry-optimized UBRu structure, computed with PBE.

Volume ... 15.24 A^3/atom
Magnetization ... 1.61 Bohr magnetons per cell
Final energy ... -9.255 eV/atom
D(E_F) ... 0.856 states/eV per atom

Unit cell a=3.165 b=4.163 c=6.941 alpha=90.00 beta=90.00 gamma=90.00
Site moments in Bohr magnetons follow the coordinates.
Positions (direct):
1 U 0.000 0.092 0.362  0.82
2 U 0.500 0.908 0.862  0.82
3 B 0.000 0.342 0.986  -0.02
4 B 0.500 0.658 0.486  -0.02
5 Ru 0.500 0.548 0.160  -0.04
6 Ru 0.000 0.452 0.660  -0.04


A geometry-optimized UB4Ru structure, computed with PBE.

Volume ... 10.13 A^3/atom
Magnetization ... 1.67 Bohr magnetons per cell
Final energy ... -8.413 eV/atom
D(E_F) ... 0.868 states/eV per atom

Unit cell a=5.960 b=5.960 c=3.530 alpha=90.00 beta=90.00 gamma=104.18
Site moments in Bohr magnetons follow the coordinates.
Positions (direct):
1 B 0.616 0.935 0.500  -0.01
2 B 0.093 0.907 0.500  0.00
3 B 0.065 0.384 0.500  -0.01
4 B 0.907 0.093 0.500  0.00
5 B 0.384 0.065 0.500  -0.01
6 B 0.380 0.380 0.500  -0.01
7 B 0.935 0.616 0.500  -0.01
8 B 0.620 0.620 0.500  -0.01
9 Ru 0.186 0.186 0.000  -0.03
10 Ru 0.814 0.814 0.000  -0.03
11 U 0.700 0.300 0.000  0.82
12 U 0.300 0.700 0.000  0.82


A geometry-optimized UB3Ru6 structure, computed with PBE.

Volume ... 13.04 A^3/atom
Magnetization ... 0.00 Bohr magnetons per cell
Final energy ... -8.835 eV/atom
D(E_F) ... 1.054 states/eV per atom

Unit cell a=5.428 b=5.427 c=5.996 alpha=90.04 beta=116.94 gamma=119.96
Positions (direct):
1 Ru 0.752 0.081 0.247
2 Ru 0.166 0.671 0.247
3 Ru 0.326 0.431 0.688
4 Ru 0.576 0.495 0.247
5 Ru 0.257 0.895 0.687
6 Ru 0.792 0.361 0.687
7 B 0.655 0.327 0.982
8 B 0.322 0.661 0.983
9 B 0.247 0.124 0.371
10 U 0.908 0.953 0.861


A geometry-optimized UB4Ru structure, computed with PBE.

Volume ... 10.14 A^3/atom
Magnetization ... 3.61 Bohr magnetons per cell
Final energy ... -8.412 eV/atom
D(E_F) ... 0.862 states/eV per atom

Unit cell a=3.531 b=5.962 c=11.555 alpha=90.00 beta=90.00 gamma=90.00
Site moments in Bohr magnetons follow the coordinates.
Positions (direct):
1 U 0.000 0.127 0.150  0.88
2 U 0.000 0.873 0.850  0.88
3 U 0.000 0.373 0.650  0.88
4 U 0.000 0.627 0.350  0.88
5 B 0.500 0.972 0.307  -0.01
6 B 0.500 0.615 0.953  0.00
7 B 0.500 0.632 0.533  -0.01
8 B 0.500 0.132 0.967  -0.01
9 B 0.500 0.528 0.807  -0.01
10 B 0.500 0.868 0.033  -0.01
11 B 0.500 0.212 0.811  -0.01
12 B 0.500 0.885 0.453  0.00
13 B 0.500 0.788 0.189  -0.01
14 B 0.500 0.115 0.547  0.00
15 B 0.500 0.472 0.193  -0.01
16 B 0.500 0.712 0.689  -0.01
17 B 0.500 0.368 0.467  -0.01
18 B 0.500 0.288 0.311  -0.01
19 B 0.500 0.028 0.693  -0.01
20 B 0.500 0.385 0.047  0.00
21 Ru 0.000 0.640 0.093  -0.03
22 Ru 0.000 0.140 0.407  -0.03
23 Ru 0.000 0.360 0.907  -0.03
24 Ru 0.000 0.860 0.593  -0.03


A geometry-optimized UB4Ru4 structure, computed with PBE.

Volume ... 11.72 A^3/atom
Magnetization ... 2.14 Bohr magnetons per cell
Energy above the lowest structure with this stoichiometry ... 33 meV per atom
Final energy ... -8.734 eV/atom
D(E_F) ... 0.697 states/eV per atom

Unit cell a=5.378 b=5.378 c=7.297 alpha=90.00 beta=90.00 gamma=90.00
Site moments in Bohr magnetons follow the coordinates.
Positions (direct):
1 B 0.000 0.668 0.649  0.00
2 B 0.668 0.000 0.351  0.00
3 B 0.168 0.500 0.149  0.00
4 B 0.500 0.168 0.851  0.00
5 B 0.332 0.000 0.351  0.00
6 B 0.000 0.332 0.649  0.00
7 B 0.500 0.832 0.851  0.00
8 B 0.832 0.500 0.149  0.00
9 Ru 0.000 0.245 0.356  -0.05
10 Ru 0.255 0.500 0.856  -0.05
11 Ru 0.500 0.745 0.144  -0.05
12 Ru 0.755 0.000 0.644  -0.05
13 Ru 0.745 0.500 0.856  -0.05
14 Ru 0.000 0.755 0.356  -0.05
15 Ru 0.500 0.255 0.144  -0.05
16 Ru 0.245 0.000 0.644  -0.05
17 U 0.000 0.000 0.000  1.20
18 U 0.500 0.500 0.500  1.20


A geometry-optimized UVB2Ru5 structure, computed with PBE.

Volume ... 15.80 A^3/atom
Magnetization ... 1.76 Bohr magnetons per cell
Final energy ... -8.784 eV/atom
D(E_F) ... 1.017 states/eV per atom

Unit cell a=4.119 b=4.119 c=8.385 alpha=90.00 beta=90.00 gamma=90.00
Site moments in Bohr magnetons follow the coordinates.
Positions (direct):
1 V 0.000 0.000 0.000  1.67
2 Ru 0.000 0.500 0.262  -0.08
3 Ru 0.000 0.500 0.738  -0.08
4 Ru 0.500 0.000 0.738  -0.08
5 Ru 0.000 0.000 0.500  -0.05
6 Ru 0.500 0.000 0.262  -0.08
7 U 0.500 0.500 0.500  0.18
8 B 0.000 0.000 0.754  0.00
9 B 0.000 0.000 0.246  0.00


A geometry-optimized U2ZnB2Ru5 structure, computed with PBE.

Volume ... 14.18 A^3/atom
Magnetization ... 2.76 Bohr magnetons per cell
Final energy ... -8.788 eV/atom
D(E_F) ... 0.613 states/eV per atom

Unit cell a=3.156 b=9.480 c=9.480 alpha=90.00 beta=90.00 gamma=90.00
Site moments in Bohr magnetons follow the coordinates.
Positions (direct):
1 Ru 0.500 0.427 0.282  -0.09
2 Ru 0.500 0.782 0.927  -0.09
3 Ru 0.500 0.000 0.500  -0.12
4 Ru 0.500 0.282 0.573  -0.09
5 Ru 0.500 0.500 0.000  -0.12
6 Ru 0.500 0.927 0.218  -0.09
7 Ru 0.500 0.073 0.782  -0.09
8 Ru 0.500 0.573 0.718  -0.09
9 Ru 0.500 0.218 0.073  -0.09
10 Ru 0.500 0.718 0.427  -0.09
11 B 0.000 0.377 0.123  0.00
12 B 0.000 0.623 0.877  0.00
13 B 0.000 0.877 0.377  0.00
14 B 0.000 0.123 0.623  0.00
15 Zn 0.000 0.500 0.500  0.00
16 Zn 0.000 0.000 0.000  0.00
17 U 0.000 0.177 0.323  0.87
18 U 0.000 0.677 0.177  0.87
19 U 0.000 0.323 0.823  0.87
20 U 0.000 0.823 0.677  0.87


A geometry-optimized V2BRu structure, computed with PBE.

Volume ... 11.93 A^3/atom
Magnetization ... 0.00 Bohr magnetons per cell
Final energy ... -8.776 eV/atom
D(E_F) ... 0.615 states/eV per atom

Unit cell a=2.893 b=2.893 c=6.789 alpha=77.70 beta=77.70 gamma=60.00
Positions (direct):
1 V 0.730 0.730 0.811
2 V 0.270 0.270 0.189
3 Ru 0.500 0.500 0.500
4 B 0.000 0.000 0.000


A geometry-optimized VBRu structure, computed with PBE.

Volume ... 10.98 A^3/atom
Magnetization ... 0.00 Bohr magnetons per cell
Energy above the lowest structure with this stoichiometry ... 127 meV per atom
Final energy ... -8.734 eV/atom
D(E_F) ... 0.542 states/eV per atom

Unit cell a=2.860 b=4.439 c=5.456 alpha=99.44 beta=105.19 gamma=90.00
Positions (direct):
1 B 0.231 0.878 0.463
2 B 0.769 0.122 0.537
3 V 0.568 0.782 0.135
4 V 0.432 0.218 0.865
5 Ru 0.150 0.317 0.300
6 Ru 0.850 0.683 0.700


A geometry-optimized V3BRu structure, computed with PBE.

Volume ... 12.90 A^3/atom
Magnetization ... 0.52 Bohr magnetons per cell
Energy above the lowest structure with this stoichiometry ... 0 meV per atom
Final energy ... -8.594 eV/atom
D(E_F) ... 1.707 states/eV per atom

Unit cell a=4.010 b=4.010 c=4.010 alpha=90.00 beta=90.00 gamma=90.00
Site moments in Bohr magnetons follow the coordinates.
Positions (direct):
1 B 0.000 0.000 0.000  -0.01
2 V 0.500 0.000 0.000  0.16
3 V 0.000 0.500 0.000  0.16
4 V 0.000 0.000 0.500  0.16
5 Ru 0.500 0.500 0.500  -0.02


A geometry-optimized V2B2Ru structure, computed with PBE.

Volume ... 10.10 A^3/atom
Magnetization ... 0.00 Bohr magnetons per cell
Energy above the lowest structure with this stoichiometry ... 4 meV per atom
Final energy ... -8.786 eV/atom
D(E_F) ... 0.945 states/eV per atom

Unit cell a=5.775 b=5.775 c=3.028 alpha=90.00 beta=90.00 gamma=90.00
Positions (direct):
1 B 0.111 0.389 0.000
2 B 0.889 0.611 0.000
3 B 0.389 0.889 0.000
4 B 0.611 0.111 0.000
5 V 0.672 0.828 0.500
6 V 0.328 0.172 0.500
7 V 0.172 0.672 0.500
8 V 0.828 0.328 0.500
9 Ru 0.000 0.000 0.000
10 Ru 0.500 0.500 0.000


A geometry-optimized VB2Ru structure, computed with PBE.

Volume ... 9.72 A^3/atom
Magnetization ... 1.29 Bohr magnetons per cell
Energy above the lowest structure with this stoichiometry ... 521 meV per atom
Final energy ... -7.913 eV/atom
D(E_F) ... 0.892 states/eV per atom

Unit cell a=3.802 b=3.802 c=3.802 alpha=60.00 beta=60.00 gamma=60.00
Site moments in Bohr magnetons follow the coordinates.
Positions (direct):
1 B 0.750 0.750 0.750  0.02
2 B 0.250 0.250 0.250  0.02
3 V 0.000 0.000 0.000  1.13
4 Ru 0.500 0.500 0.500  -0.01


A geometry-optimized VBRu structure, computed with PBE.

Volume ... 10.97 A^3/atom
Magnetization ... 0.00 Bohr magnetons per cell
Energy above the lowest structure with this stoichiometry ... 85 meV per atom
Final energy ... -8.776 eV/atom
D(E_F) ... 0.605 states/eV per atom

Unit cell a=4.357 b=2.914 c=10.570 alpha=90.00 beta=101.19 gamma=90.00
Positions (direct):
1 Ru 0.180 0.500 0.736
2 Ru 0.308 0.500 0.471
3 Ru 0.180 0.000 0.236
4 Ru 0.308 0.000 0.971
5 B 0.080 0.000 0.580
6 B 0.840 0.000 0.041
7 B 0.840 0.500 0.541
8 B 0.080 0.500 0.080
9 V 0.639 0.500 0.164
10 V 0.757 0.000 0.380
11 V 0.757 0.500 0.880
12 V 0.639 0.000 0.664


A geometry-optimized V4BRu2 structure, computed with PBE.

Volume ... 13.82 A^3/atom
Magnetization ... 0.00 Bohr magnetons per cell
Final energy ... -8.603 eV/atom
D(E_F) ... 1.036 states/eV per atom

Unit cell a=3.948 b=3.948 c=6.803 alpha=73.13 beta=73.13 gamma=90.00
Positions (direct):
1 Ru 0.355 0.355 0.290
2 Ru 0.645 0.645 0.710
3 V 0.827 0.827 0.347
4 V 0.173 0.173 0.653
5 V 0.000 0.500 0.000
6 V 0.500 0.000 0.000
7 B 0.000 0.000 0.000


A geometry-optimized V3BRu structure, computed with PBE.

Volume ... 17.79 A^3/atom
Magnetization ... 0.00 Bohr magnetons per cell
Energy above the lowest structure with this stoichiometry ... 1670 meV per atom
Final energy ... -6.925 eV/atom
D(E_F) ... 1.076 states/eV per atom

Unit cell a=4.464 b=4.464 c=4.464 alpha=90.00 beta=90.00 gamma=90.00
Positions (direct):
1 B 0.500 0.500 0.500
2 V 0.000 0.000 0.500
3 V 0.500 0.000 0.000
4 V 0.000 0.500 0.000
5 Ru 0.000 0.000 0.000


A geometry-optimized VBRu structure, computed with PBE.

Volume ... 10.94 A^3/atom
Magnetization ... 0.00 Bohr magnetons per cell
Energy above the lowest structure with this stoichiometry ... 94 meV per atom
Final energy ... -8.767 eV/atom
D(E_F) ... 0.865 states/eV per atom

Unit cell a=6.277 b=2.990 c=8.581 alpha=90.00 beta=125.41 gamma=90.00
Positions (direct):
1 B 0.095 0.000 0.108
2 B 0.785 0.000 0.868
3 B 0.785 0.500 0.368
4 B 0.095 0.500 0.608
5 V 0.365 0.500 0.318
6 V 0.805 0.500 0.071
7 V 0.365 0.000 0.818
8 V 0.805 0.000 0.571
9 Ru 0.527 0.500 0.667
10 Ru 0.527 0.000 0.167
11 Ru 0.069 0.500 0.890
12 Ru 0.069 0.000 0.390


A geometry-optimized V2B2Ru structure, computed with PBE.

Volume ... 10.16 A^3/atom
Magnetization ... 0.00 Bohr magnetons per cell
Energy above the lowest structure with this stoichiometry ... 0 meV per atom
Final energy ... -8.790 eV/atom
D(E_F) ... 0.925 states/eV per atom

Unit cell a=5.674 b=5.674 c=6.315 alpha=90.00 beta=90.00 gamma=90.00
Positions (direct):
1 V 0.317 0.162 0.000
2 V 0.817 0.338 0.500
3 V 0.838 0.317 0.000
4 V 0.338 0.183 0.500
5 V 0.162 0.683 0.000
6 V 0.683 0.838 0.000
7 V 0.183 0.662 0.500
8 V 0.662 0.817 0.500
9 B 0.886 0.614 0.750
10 B 0.614 0.114 0.750
11 B 0.886 0.614 0.250
12 B 0.614 0.114 0.250
13 B 0.386 0.886 0.250
14 B 0.386 0.886 0.750
15 B 0.114 0.386 0.250
16 B 0.114 0.386 0.750
17 Ru 0.000 0.000 0.721
18 Ru 0.500 0.500 0.221
19 Ru 0.000 0.000 0.279
20 Ru 0.500 0.500 0.779